VASP calculation (GGA-PBE) on a relaxed structure of Ta6H5.

Unit cell a=5.6640 b=5.6640 c=4.8465 alpha=91.44 beta=91.44 gamma=129.07
Fractional coordinates of all 11 atoms:
1 Ta 0.0761 0.4057 0.2462
2 Ta 0.2575 0.2575 0.7282
3 Ta 0.4057 0.0761 0.2462
4 Ta 0.5943 0.9239 0.7538
5 Ta 0.7425 0.7425 0.2718
6 Ta 0.9239 0.5943 0.7538
7 H 0.0000 0.0000 0.0000
8 H 0.2471 0.7529 0.5000
9 H 0.4036 0.5964 0.0000
10 H 0.5964 0.4036 0.0000
11 H 0.7529 0.2471 0.5000

VASP calculation (GGA-PBE) on a relaxed structure of TaH.

Unit cell a=4.8746 b=4.8799 c=6.8982 alpha=90.00 beta=90.00 gamma=90.00
Fractional coordinates of all 16 atoms:
1 Ta 0.2395 0.0069 0.2520
2 Ta 0.2455 0.4873 0.9994
3 Ta 0.2545 0.5127 0.4994
4 Ta 0.2605 0.9931 0.7520
5 Ta 0.7395 0.4931 0.7480
6 Ta 0.7455 0.0127 0.0006
7 Ta 0.7545 0.9873 0.5006
8 Ta 0.7605 0.5069 0.2480
9 H 0.1247 0.3704 0.7477
10 H 0.1251 0.8689 0.0026
11 H 0.3749 0.1311 0.5026
12 H 0.3753 0.6296 0.2477
13 H 0.6247 0.1296 0.2523
14 H 0.6251 0.6311 0.9974
15 H 0.8749 0.3689 0.4974
16 H 0.8753 0.8704 0.7523

In the order shown, the computed uncorrected energy values come out to -8.146 -7.752 eV per atom.
In the order shown, the computed total moment values come out to 0.00 0.00 μB per cell.